Compound: Na2MnO2
Source: the Alexandria database
Functional: PBE+U
Structure: relaxed

The structure in POSCAR format:
```
Na2MnO2
1.0
-0.184 3.069 1.310
-4.916 -1.010 -2.585
-2.721 -2.848 6.288
O Na Mn
4 4 2
direct
0.713 0.426 0.647 O
0.000 0.000 0.397 O
0.000 0.000 0.897 O
0.287 0.574 0.147 O
0.355 0.709 0.829 Na
0.646 0.291 0.966 Na
0.354 0.709 0.466 Na
0.645 0.291 0.329 Na
0.911 0.823 0.147 Mn
0.089 0.177 0.647 Mn
```

Computed properties:
Energy = -5.3922 eV per atom
Spin magnetization = 10.00 μB per cell